## P
Compound: CaRe2Ag
Source: Alexandria
Functional: PBE-GGA
Structure: relaxed

Calculated values
As for the volume: 75.5 Å³/f.u. The density of states at the Fermi level comes out at 0.630 states/eV per atom.

The structure in extended XYZ format:
```
4
Lattice="4.663 -0.020 0.014 3.820 2.675 0.014 0.548 0.172 6.017" Properties=species:S:1:pos:R:3 pbc="T T T"
Re 0.583 0.183 5.644
Re 6.818 2.134 4.777
Ca 2.242 0.702 1.526
Ag 4.453 1.394 3.139
```



## Q
Compound: CaRe2Ag
Source: Alexandria
Functional: PBE-GGA
Structure: relaxed

Calculated values
As for the volume: 70.9 Å³/f.u. The density of states at the Fermi level comes out at 0.690 states/eV per atom.

The structure in extended XYZ format:
```
4
Lattice="3.174 0.000 0.000 0.000 4.428 0.000 0.000 0.000 5.045" Properties=species:S:1:pos:R:3 pbc="T T T"
Re 0.000 0.000 0.000
Re 1.587 2.214 0.000
Ca 0.000 2.214 2.523
Ag 1.587 0.000 2.523
```



The structure with the least stability is Q.



## P
Compound: CaRe2Ag
Source: Alexandria
Functional: PBE-GGA
Structure: relaxed

Calculated values
As for the volume: 71.3 Å³/f.u. The density of states at the Fermi level comes out at 0.491 states/eV per atom.

The structure in extended XYZ format:
```
4
Lattice="9.907 0.001 0.001 9.481 2.874 0.001 9.481 1.406 2.507" Properties=species:S:1:pos:R:3 pbc="T T T"
Re 28.636 4.246 2.488
Re 7.392 1.096 0.642
Ca 21.573 3.199 1.874
Ag 14.571 2.161 1.266
```



## Q
Compound: CaRe2Ag
Source: Alexandria
Functional: PBE-GGA
Structure: relaxed

Calculated values
As for the volume: 70.0 Å³/f.u. The density of states at the Fermi level comes out at 0.853 states/eV per atom.

The structure in extended XYZ format:
```
4
Lattice="2.695 0.000 0.000 0.000 2.695 0.000 0.000 0.000 9.630" Properties=species:S:1:pos:R:3 pbc="T T T"
Re 0.000 0.000 0.133
Re 0.000 0.000 4.683
Ca 1.348 1.348 7.223
Ag 1.348 1.348 2.408
```



## R
Compound: CaRe2Ag
Source: Alexandria
Functional: PBE-GGA
Structure: relaxed

Calculated values
As for the volume: 80.1 Å³/f.u. The density of states at the Fermi level comes out at 1.055 states/eV per atom.

The structure in extended XYZ format:
```
8
Lattice="3.893 0.000 0.000 0.000 3.893 0.000 1.946 1.946 10.569" Properties=species:S:1:pos:R:3 pbc="T T T"
Re 3.147 0.973 2.642
Re 0.746 2.920 2.642
Re 2.920 2.693 7.927
Re 4.866 5.093 7.927
Ca 1.946 1.946 0.000
Ca 1.946 3.893 5.285
Ag 0.000 0.000 0.000
Ag 3.893 1.946 5.285
```



## S
Compound: CaRe2Ag
Source: Alexandria
Functional: PBE-GGA
Structure: relaxed

Calculated values
As for the volume: 74.7 Å³/f.u. The density of states at the Fermi level comes out at 0.674 states/eV per atom.

The structure in extended XYZ format:
```
4
Lattice="-3.550 -1.497 3.142 -0.434 -4.806 -1.194 3.855 2.745 1.523" Properties=species:S:1:pos:R:3 pbc="T T T"
Re -3.869 -6.119 1.891
Re -0.975 -1.160 2.884
Ca 0.760 -2.534 0.629
Ag -2.022 -3.199 0.989
```



The structure with the least stability is R.



## P
Compound: CaRe2Ag
Source: Alexandria
Functional: PBE-GGA
Structure: relaxed

Calculated values
As for the volume: 80.9 Å³/f.u. The density of states at the Fermi level comes out at 0.540 states/eV per atom.

The structure in extended XYZ format:
```
4
Lattice="-3.152 -0.967 1.153 -0.897 -0.942 -3.242 2.294 -6.115 1.141" Properties=species:S:1:pos:R:3 pbc="T T T"
Re 0.169 -0.451 0.084
Re 0.978 -2.606 0.486
Ca -0.304 -5.541 -0.188
Ag -1.451 -2.483 -0.759
```



## Q
Compound: CaRe2Ag
Source: Alexandria
Functional: PBE-GGA
Structure: relaxed

Calculated values
As for the volume: 71.6 Å³/f.u. The density of states at the Fermi level comes out at 0.575 states/eV per atom.

The structure in extended XYZ format:
```
4
Lattice="5.980 0.002 -0.007 3.437 4.894 0.007 -4.121 -3.578 2.445" Properties=species:S:1:pos:R:3 pbc="T T T"
Re 9.243 4.805 0.000
Re 4.883 2.538 0.000
Ca 2.012 1.882 1.226
Ag 3.284 -0.564 1.219
```



The structure with the least stability is P.



## P
Compound: CaRe2Ag
Source: Alexandria
Functional: PBE-GGA
Structure: relaxed

Calculated values
As for the volume: 71.4 Å³/f.u. The density of states at the Fermi level comes out at 0.481 states/eV per atom.

The structure in extended XYZ format:
```
4
Lattice="5.746 0.020 0.072 5.041 2.758 0.072 1.376 0.354 4.553" Properties=species:S:1:pos:R:3 pbc="T T T"
Re 1.552 0.400 4.497
Re 5.905 1.521 2.405
Ca 3.041 0.783 1.174
Ag 9.122 2.349 3.523
```



## Q
Compound: CaRe2Ag
Source: Alexandria
Functional: PBE-GGA
Structure: relaxed

Calculated values
As for the volume: 73.7 Å³/f.u. The density of states at the Fermi level comes out at 0.647 states/eV per atom.

The structure in extended XYZ format:
```
4
Lattice="-2.430 0.394 -0.972 -1.331 -4.618 1.455 -1.635 2.015 4.902" Properties=species:S:1:pos:R:3 pbc="T T T"
Re -1.590 1.959 4.766
Re -0.863 1.063 2.587
Ca -3.107 -0.601 3.918
Ag -2.289 -1.608 1.467
```



## R
Compound: CaRe2Ag
Source: Alexandria
Functional: PBE-GGA
Structure: relaxed

Calculated values
As for the volume: 72.7 Å³/f.u. The density of states at the Fermi level comes out at 0.756 states/eV per atom.

The structure in extended XYZ format:
```
4
Lattice="5.659 0.004 0.000 3.068 4.755 0.000 -4.364 -2.380 2.705" Properties=species:S:1:pos:R:3 pbc="T T T"
Re 0.000 0.000 0.000
Re 4.364 2.380 0.000
Ca 1.534 2.377 1.353
Ag 2.829 0.002 1.353
```



## S
Compound: CaRe2Ag
Source: Alexandria
Functional: PBE-GGA
Structure: relaxed

Calculated values
As for the volume: 69.8 Å³/f.u. The density of states at the Fermi level comes out at 0.671 states/eV per atom.

The structure in extended XYZ format:
```
4
Lattice="-2.250 1.197 -0.902 1.330 -0.460 -2.308 -4.322 -8.699 -0.757" Properties=species:S:1:pos:R:3 pbc="T T T"
Re -0.051 -0.103 -0.009
Re -2.110 -4.246 -0.370
Ca -3.702 -6.156 -2.173
Ag -1.541 -1.806 -1.794
```



The structure with the least stability is Q.



## P
Compound: CaRe2Ag
Source: Alexandria
Functional: PBE-GGA
Structure: relaxed

Calculated values
As for the volume: 70.2 Å³/f.u. The density of states at the Fermi level comes out at 1.710 states/eV per atom.

The structure in extended XYZ format:
```
4
Lattice="10.227 -0.021 -0.012 9.840 2.785 -0.012 9.840 1.355 2.433" Properties=species:S:1:pos:R:3 pbc="T T T"
Re 29.809 4.106 2.400
Re 15.053 2.073 1.212
Ca 22.431 3.089 1.806
Ag 7.477 1.030 0.602
```



## Q
Compound: CaRe2Ag
Source: Alexandria
Functional: PBE-GGA
Structure: relaxed

Calculated values
As for the volume: 71.5 Å³/f.u. The density of states at the Fermi level comes out at 0.682 states/eV per atom.

The structure in extended XYZ format:
```
4
Lattice="5.144 0.000 0.000 0.000 2.747 -0.003 0.000 0.560 5.059" Properties=species:S:1:pos:R:3 pbc="T T T"
Re 0.000 0.763 5.007
Re 0.000 1.451 2.581
Ca 2.572 2.481 3.792
Ag 2.572 0.827 1.264
```



## R
Compound: CaRe2Ag
Source: Alexandria
Functional: PBE-GGA
Structure: relaxed

Calculated values
As for the volume: 71.9 Å³/f.u. The density of states at the Fermi level comes out at 0.774 states/eV per atom.

The structure in extended XYZ format:
```
4
Lattice="4.889 0.000 0.000 0.000 3.836 0.000 0.000 0.000 3.836" Properties=species:S:1:pos:R:3 pbc="T T T"
Re 0.000 0.000 0.000
Re 0.000 1.918 1.918
Ca 2.444 0.000 1.918
Ag 2.444 1.918 0.000
```



## S
Compound: CaRe2Ag
Source: Alexandria
Functional: PBE-GGA
Structure: relaxed

Calculated values
As for the volume: 71.5 Å³/f.u. The density of states at the Fermi level comes out at 0.759 states/eV per atom.

The structure in extended XYZ format:
```
4
Lattice="2.813 -0.005 0.000 -0.943 2.650 0.000 0.000 0.000 9.596" Properties=species:S:1:pos:R:3 pbc="T T T"
Re 0.000 0.000 0.222
Re 0.935 1.322 2.240
Ca 0.935 1.322 7.288
Ag 0.000 0.000 4.644
```



The structure with the least stability is P.